1.
DFT (PBE) results for crystalline Zr2BePt at its relaxed geometry.

## Properties
- Formation energy from the elements: -0.39 eV per atom
- Crystal system: tetragonal

Lattice parameters (Å, degrees): 5.369 5.369 5.369 137.30 137.30 61.98
Sites, in units of the cell vectors:
Be 0.500 0.500 0.000
Zr 0.000 0.000 0.000
Zr 0.250 0.750 0.500
Pt 0.750 0.250 0.500

---

2.
DFT (PBE) results for crystalline ZrBePt2 at its relaxed geometry.

## Properties
- Formation energy from the elements: -0.47 eV per atom
- Crystal system: trigonal

Lattice parameters (Å, degrees): 8.507 8.507 8.507 19.71 19.71 19.71
Sites, in units of the cell vectors:
Be 0.750 0.750 0.750
Zr 0.250 0.250 0.250
Pt 0.015 0.015 0.015
Pt 0.485 0.485 0.485

---

3.
DFT (PBE) results for crystalline ZrBePt2 at its relaxed geometry.

## Properties
- Formation energy from the elements: -0.65 eV per atom
- Crystal system: orthorhombic

Lattice parameters (Å, degrees): 2.886 3.682 6.035 90.00 90.00 90.00
Sites, in units of the cell vectors:
Be 0.500 0.500 0.839
Zr 0.000 0.000 0.492
Pt 0.000 0.000 0.931
Pt 0.500 0.500 0.238